--- one ---
# NiPS2N | Alexandria | PBE | optimized geometry
data_NiPS2N
_chemical_formula_sum 'Ni1 P1 S2 N1'
_symmetry_space_group_name_H-M 'P 4/m m m'
_symmetry_Int_Tables_number 123
_symmetry_space_group_name_Hall '-P 4 2'
_cell_length_a 4.629
_cell_length_b 4.629
_cell_length_c 3.167
_cell_angle_alpha 90.00
_cell_angle_beta 90.00
_cell_angle_gamma 90.00
loop_
_atom_site_label
_atom_site_type_symbol
_atom_site_fract_x
_atom_site_fract_y
_atom_site_fract_z
Ni1 Ni 0.000 0.000 0.000
P1 P 0.500 0.500 0.500
S1 S 0.000 0.500 0.500
N1 N 0.500 0.500 0.000
# crystal system: tetragonal
# DOS(E_F): 0.93 states/eV per atom
# M_tot: 0.932 μB per cell


--- two ---
# NiPS2N | Alexandria | PBE | optimized geometry
data_NiPS2N
_chemical_formula_sum 'Ni1 P1 S2 N1'
_symmetry_space_group_name_H-M 'P 4/m m m'
_symmetry_Int_Tables_number 123
_symmetry_space_group_name_Hall '-P 4 2'
_cell_length_a 4.632
_cell_length_b 4.632
_cell_length_c 3.410
_cell_angle_alpha 90.00
_cell_angle_beta 90.00
_cell_angle_gamma 90.00
loop_
_atom_site_label
_atom_site_type_symbol
_atom_site_fract_x
_atom_site_fract_y
_atom_site_fract_z
Ni1 Ni 0.000 0.000 0.000
P1 P 0.500 0.500 0.500
S1 S 0.000 0.500 0.000
N1 N 0.000 0.000 0.500
# crystal system: tetragonal
# DOS(E_F): 0.49 states/eV per atom
# M_tot: 0.538 μB per cell


Energy relative to the most stable one, in meV per atom: one 0; two 164


--- one ---
# NiPSN2 | Alexandria | PBE | optimized geometry
data_NiPSN2
_chemical_formula_sum 'Ni1 P1 S1 N2'
_symmetry_space_group_name_H-M 'P 4/m m m'
_symmetry_Int_Tables_number 123
_symmetry_space_group_name_Hall '-P 4 2'
_cell_length_a 3.453
_cell_length_b 3.453
_cell_length_c 7.658
_cell_angle_alpha 90.00
_cell_angle_beta 90.00
_cell_angle_gamma 90.00
loop_
_atom_site_label
_atom_site_type_symbol
_atom_site_fract_x
_atom_site_fract_y
_atom_site_fract_z
Ni1 Ni 0.000 0.000 0.000
P1 P 0.500 0.500 0.500
S1 S 0.000 0.000 0.500
N1 N 0.000 0.500 0.000
# crystal system: tetragonal
# DOS(E_F): 0.65 states/eV per atom
# M_tot: 0.258 μB per cell


--- two ---
# NiPSN2 | Alexandria | PBE | optimized geometry
data_NiPSN2
_chemical_formula_sum 'Ni1 P1 S1 N2'
_symmetry_space_group_name_H-M 'P 4/m m m'
_symmetry_Int_Tables_number 123
_symmetry_space_group_name_Hall '-P 4 2'
_cell_length_a 3.243
_cell_length_b 3.243
_cell_length_c 6.374
_cell_angle_alpha 90.00
_cell_angle_beta 90.00
_cell_angle_gamma 90.00
loop_
_atom_site_label
_atom_site_type_symbol
_atom_site_fract_x
_atom_site_fract_y
_atom_site_fract_z
Ni1 Ni 0.000 0.000 0.000
P1 P 0.500 0.500 0.500
S1 S 0.500 0.500 0.000
N1 N 0.000 0.500 0.500
# crystal system: tetragonal
# DOS(E_F): 0.74 states/eV per atom
# M_tot: 0.889 μB per cell


Energy relative to the most stable one, in meV per atom: one 610; two 0


--- one ---
# NiP2SeN | Alexandria | PBE | optimized geometry
data_NiP2SeN
_chemical_formula_sum 'Ni1 P2 Se1 N1'
_symmetry_space_group_name_H-M 'P 1'
_symmetry_Int_Tables_number 1
_symmetry_space_group_name_Hall 'P 1'
_cell_length_a 3.709
_cell_length_b 4.913
_cell_length_c 4.973
_cell_angle_alpha 63.15
_cell_angle_beta 84.66
_cell_angle_gamma 76.04
loop_
_atom_site_label
_atom_site_type_symbol
_atom_site_fract_x
_atom_site_fract_y
_atom_site_fract_z
Ni1 Ni 0.000 0.000 0.000
P1 P 0.075 0.507 0.322
P2 P 0.428 0.109 0.233
Se1 Se 0.506 0.798 0.745
N1 N 0.940 0.386 0.658
# crystal system: triclinic
# DOS(E_F): 0.35 states/eV per atom
# M_tot: 0.000 μB per cell


--- two ---
# NiP2SeN | Alexandria | PBE | optimized geometry
data_NiP2SeN
_chemical_formula_sum 'Ni2 P4 Se2 N2'
_symmetry_space_group_name_H-M 'C 1 m 1'
_symmetry_Int_Tables_number 8
_symmetry_space_group_name_Hall 'C -2y'
_cell_length_a 7.817
_cell_length_b 2.762
_cell_length_c 7.392
_cell_angle_alpha 90.00
_cell_angle_beta 100.33
_cell_angle_gamma 90.00
loop_
_atom_site_label
_atom_site_type_symbol
_atom_site_fract_x
_atom_site_fract_y
_atom_site_fract_z
Ni1 Ni 0.000 0.000 0.000
P1 P 0.118 0.500 0.553
P2 P 0.449 0.000 0.774
Se1 Se 0.244 0.500 0.156
N1 N 0.251 0.000 0.627
# crystal system: monoclinic
# DOS(E_F): 0.47 states/eV per atom
# M_tot: 0.000 μB per cell


--- three ---
# NiP2SeN | Alexandria | PBE | optimized geometry
data_NiP2SeN
_chemical_formula_sum 'Ni2 P4 Se2 N2'
_symmetry_space_group_name_H-M 'C 1 m 1'
_symmetry_Int_Tables_number 8
_symmetry_space_group_name_Hall 'C -2y'
_cell_length_a 8.210
_cell_length_b 2.726
_cell_length_c 6.733
_cell_angle_alpha 90.00
_cell_angle_beta 98.74
_cell_angle_gamma 90.00
loop_
_atom_site_label
_atom_site_type_symbol
_atom_site_fract_x
_atom_site_fract_y
_atom_site_fract_z
Ni1 Ni 0.000 0.000 0.000
P1 P 0.229 0.000 0.832
P2 P 0.403 0.000 0.573
Se1 Se 0.087 0.500 0.279
N1 N 0.016 0.000 0.697
# crystal system: monoclinic
# DOS(E_F): 0.40 states/eV per atom
# M_tot: 0.000 μB per cell


--- four ---
# NiP2SeN | Alexandria | PBE | optimized geometry
data_NiP2SeN
_chemical_formula_sum 'Ni2 P4 Se2 N2'
_symmetry_space_group_name_H-M 'C 1 m 1'
_symmetry_Int_Tables_number 8
_symmetry_space_group_name_Hall 'C -2y'
_cell_length_a 7.928
_cell_length_b 3.230
_cell_length_c 6.798
_cell_angle_alpha 90.00
_cell_angle_beta 113.29
_cell_angle_gamma 90.00
loop_
_atom_site_label
_atom_site_type_symbol
_atom_site_fract_x
_atom_site_fract_y
_atom_site_fract_z
Ni1 Ni 0.000 0.000 0.000
P1 P 0.008 0.000 0.463
P2 P 0.082 0.500 0.253
Se1 Se 0.151 0.500 0.855
N1 N 0.298 0.500 0.405
# crystal system: monoclinic
# DOS(E_F): 0.28 states/eV per atom
# M_tot: 0.000 μB per cell


Energy relative to the most stable one, in meV per atom: one 225; two 0; three 270; four 85


--- one ---
# NiP2SeN | Alexandria | PBE | optimized geometry
data_NiP2SeN
_chemical_formula_sum 'Ni2 P4 Se2 N2'
_symmetry_space_group_name_H-M 'C 1 m 1'
_symmetry_Int_Tables_number 8
_symmetry_space_group_name_Hall 'C -2y'
_cell_length_a 7.496
_cell_length_b 3.459
_cell_length_c 6.519
_cell_angle_alpha 90.00
_cell_angle_beta 115.29
_cell_angle_gamma 90.00
loop_
_atom_site_label
_atom_site_type_symbol
_atom_site_fract_x
_atom_site_fract_y
_atom_site_fract_z
Ni1 Ni 0.000 0.000 0.000
P1 P 0.146 0.500 0.568
P2 P 0.478 0.000 0.787
Se1 Se 0.403 0.000 0.189
N1 N 0.234 0.000 0.590
# crystal system: monoclinic
# DOS(E_F): 0.34 states/eV per atom
# M_tot: 0.000 μB per cell


--- two ---
# NiP2SeN | Alexandria | PBE | optimized geometry
data_NiP2SeN
_chemical_formula_sum 'Ni2 P4 Se2 N2'
_symmetry_space_group_name_H-M 'C 1 m 1'
_symmetry_Int_Tables_number 8
_symmetry_space_group_name_Hall 'C -2y'
_cell_length_a 7.924
_cell_length_b 3.336
_cell_length_c 6.173
_cell_angle_alpha 90.00
_cell_angle_beta 98.68
_cell_angle_gamma 90.00
loop_
_atom_site_label
_atom_site_type_symbol
_atom_site_fract_x
_atom_site_fract_y
_atom_site_fract_z
Ni1 Ni 0.000 0.000 0.000
P1 P 0.153 0.000 0.448
P2 P 0.486 0.000 0.241
Se1 Se 0.191 0.500 0.865
N1 N 0.339 0.000 0.392
# crystal system: monoclinic
# DOS(E_F): 0.34 states/eV per atom
# M_tot: 0.000 μB per cell


Energy relative to the most stable one, in meV per atom: one 48; two 0